(1)
Compound: TaCr2Pt
Source: Alexandria via LeMat-Bulk
Functional: GGA-PBE
Structure: optimized geometry

excess energy over the best structure of this formula in the dataset	175	meV per atom
calculated formation energy	0.00	eV/atom
calculated density	13.7	g/cm3

Cell: 4.3468 4.3468 4.3468 Å, 60.00 60.00 60.00°
Closest atoms and distances in Å follow each position.
Fractional coordinates of all 4 atoms:
Ta (0.0000, 0.0000, 0.0000)  8 Cr 2.66
Cr (0.2500, 0.2500, 0.2500)  4 Ta 2.66, 4 Pt 2.66
Cr (0.7500, 0.7500, 0.7500)  4 Pt 2.66, 4 Ta 2.66
Pt (0.5000, 0.5000, 0.5000)  8 Cr 2.66


(2)
Compound: TaCr2Pt
Source: Alexandria via LeMat-Bulk
Functional: GGA-PBE
Structure: optimized geometry

excess energy over the best structure of this formula in the dataset	745	meV per atom
calculated formation energy	0.57	eV/atom
calculated density	12.7	g/cm3

Cell: 5.5607 5.5607 5.5607 Å, 102.44 102.44 124.70°
Closest atoms and distances in Å follow each position.
Fractional coordinates of all 8 atoms:
Ta (0.0000, 0.0000, 0.0000)  2 Pt 2.58, 4 Cr 2.59
Ta (0.7500, 0.2500, 0.5000)  2 Pt 2.58, 4 Cr 2.59
Cr (0.1333, 0.6250, 0.0083)  2 Pt 2.51, 2 Cr 2.58, 2 Ta 2.59
Cr (0.3750, 0.3833, 0.5083)  2 Pt 2.51, 2 Cr 2.58, 2 Ta 2.59
Cr (0.6167, 0.1250, 0.9917)  2 Pt 2.51, 2 Cr 2.58, 2 Ta 2.59
Cr (0.8750, 0.8667, 0.4917)  2 Pt 2.51, 2 Cr 2.58, 2 Ta 2.59
Pt (0.2500, 0.7500, 0.5000)  4 Cr 2.51, 2 Ta 2.58
Pt (0.5000, 0.5000, 0.0000)  4 Cr 2.51, 2 Ta 2.58


(3)
Compound: TaCr4Pt
Source: Alexandria via LeMat-Bulk
Functional: GGA-PBE
Structure: optimized geometry

calculated formation energy	-0.10	eV/atom
calculated density	12.2	g/cm3

Cell: 4.8319 4.8319 4.8319 Å, 60.00 60.00 60.00°
Closest atoms and distances in Å follow each position.
Fractional coordinates of all 6 atoms:
Ta (0.0000, 0.0000, 0.0000)  12 Cr 2.83, 4 Pt 2.96
Cr (0.1203, 0.6266, 0.6266)  6 Cr 2.39-2.45
Cr (0.6266, 0.1203, 0.6266)  6 Cr 2.39-2.45
Cr (0.6266, 0.6266, 0.1203)  6 Cr 2.39-2.45
Cr (0.6266, 0.6266, 0.6266)  6 Cr 2.39-2.45
Pt (0.2500, 0.2500, 0.2500)  12 Cr 2.84, 4 Ta 2.96


(4)
Compound: Ta6CrPt
Source: Alexandria via LeMat-Bulk
Functional: GGA-PBE
Structure: optimized geometry

calculated formation energy	-0.16	eV/atom
calculated density	16.2	g/cm3

Cell: 7.2900 7.2900 7.2900 Å, 143.40 143.40 52.72°
Closest atoms and distances in Å follow each position.
Fractional coordinates of all 8 atoms:
Ta (0.1216, 0.6216, 0.5000)  2 Pt 2.79, 2 Cr 2.79, 4 Ta 2.82-2.86
Ta (0.2471, 0.2471, 0.0000)  8 Ta 2.82-2.86
Ta (0.3784, 0.8784, 0.5000)  2 Cr 2.79, 2 Pt 2.79, 4 Ta 2.82-2.86
Ta (0.6216, 0.1216, 0.5000)  2 Pt 2.79, 2 Cr 2.79, 4 Ta 2.82-2.86
Ta (0.7529, 0.7529, 0.0000)  8 Ta 2.82-2.86
Ta (0.8784, 0.3784, 0.5000)  2 Cr 2.79, 2 Pt 2.79, 4 Ta 2.82-2.86
Cr (0.0000, 0.0000, 0.0000)  8 Ta 2.79
Pt (0.5000, 0.5000, 0.0000)  8 Ta 2.79


(5)
Compound: TaCr2Pt
Source: Alexandria via LeMat-Bulk
Functional: GGA-PBE
Structure: optimized geometry

excess energy over the best structure of this formula in the dataset	0	meV per atom
calculated formation energy	-0.17	eV/atom
calculated density	13.9	g/cm3

Cell: 2.8757 2.8757 6.9547 Å, 90.00 90.00 90.00°
Closest atoms and distances in Å follow each position.
Fractional coordinates of all 4 atoms:
Ta (0.0000, 0.0000, 0.0000)  5 Cr 2.76-3.08, 4 Ta 2.88, 4 Pt 2.88
Cr (0.0000, 0.0000, 0.4434)  4 Cr 2.37
Cr (0.5000, 0.5000, 0.2673)  4 Cr 2.37
Pt (0.5000, 0.5000, 0.7059)  5 Cr 2.73-3.05, 4 Pt 2.88, 4 Ta 2.88


(6)
Compound: TaCr3Pt
Source: Alexandria via LeMat-Bulk
Functional: GGA-PBE
Structure: optimized geometry

calculated formation energy	1.81	eV/atom
calculated density	10.2	g/cm3

Cell: 4.4261 4.4261 4.4261 Å, 90.00 90.00 90.00°
Closest atoms and distances in Å follow each position.
Fractional coordinates of all 5 atoms:
Ta (0.0000, 0.0000, 0.0000)  6 Cr 2.21
Cr (0.0000, 0.0000, 0.5000)  2 Ta 2.21
Cr (0.0000, 0.5000, 0.0000)  2 Ta 2.21
Cr (0.5000, 0.0000, 0.0000)  2 Ta 2.21
Pt (0.5000, 0.5000, 0.5000)  12 Cr 3.13


(7)
Compound: Ta2CrTcPt
Source: Alexandria via LeMat-Bulk
Functional: GGA-PBE
Structure: optimized geometry

calculated formation energy	1.60	eV/atom
calculated density	11.3	g/cm3

Cell: 4.8526 4.8526 4.4236 Å, 90.00 90.00 90.00°
Closest atoms and distances in Å follow each position.
Fractional coordinates of all 5 atoms:
Ta (0.0000, 0.5000, 0.0000)  2 Pt 2.43
Ta (0.5000, 0.0000, 0.0000)  2 Pt 2.43
Cr (0.0000, 0.0000, 0.5000)  2 Pt 2.21
Tc (0.5000, 0.5000, 0.5000)  8 Ta 3.28, 4 Cr 3.43
Pt (0.0000, 0.0000, 0.0000)  2 Cr 2.21, 4 Ta 2.43


(8)
Compound: TaCrPtW2
Source: Alexandria via LeMat-Bulk
Functional: GGA-PBE
Structure: optimized geometry

calculated formation energy	2.35	eV/atom
calculated density	12.3	g/cm3

Cell: 4.7267 4.7267 4.8214 Å, 90.00 90.00 90.00°
Closest atoms and distances in Å follow each position.
Fractional coordinates of all 5 atoms:
Ta (0.0000, 0.0000, 0.0000)  4 W 2.36, 2 Pt 2.41
Cr (0.5000, 0.5000, 0.5000)  4 Pt 3.34, 8 W 3.38
Pt (0.0000, 0.0000, 0.5000)  2 Ta 2.41
W (0.0000, 0.5000, 0.0000)  2 Ta 2.36
W (0.5000, 0.0000, 0.0000)  2 Ta 2.36


(9)
Compound: ZrTa2CrPt
Source: Alexandria via LeMat-Bulk
Functional: GGA-PBE
Structure: optimized geometry

calculated formation energy	1.10	eV/atom
calculated density	9.6	g/cm3

Cell: 4.8988 4.8988 5.0648 Å, 90.00 90.00 90.00°
Closest atoms and distances in Å follow each position.
Fractional coordinates of all 5 atoms:
Zr (0.0000, 0.0000, 0.0000)  2 Pt 2.53
Ta (0.0000, 0.5000, 0.5000)  2 Pt 2.45
Ta (0.5000, 0.0000, 0.5000)  2 Pt 2.45
Cr (0.5000, 0.5000, 0.0000)  4 Zr 3.46, 8 Ta 3.52
Pt (0.0000, 0.0000, 0.5000)  4 Ta 2.45, 2 Zr 2.53


(10)
Compound: CrTcPt
Source: Alexandria via LeMat-Bulk
Functional: GGA-PBE
Structure: optimized geometry

excess energy over the best structure of this formula in the dataset	231	meV per atom
calculated formation energy	0.18	eV/atom
calculated density	12.3	g/cm3

Cell: 4.9714 6.4575 6.4575 Å, 70.62 75.21 75.21°
Closest atoms and distances in Å follow each position.
Fractional coordinates of all 12 atoms:
Cr (0.1453, 0.4228, 0.1734)  4 Tc 2.37-2.63, 4 Pt 2.62-2.65
Cr (0.1448, 0.9236, 0.6730)  4 Tc 2.37-2.63, 4 Pt 2.62-2.65
Cr (0.8552, 0.0764, 0.3270)  4 Tc 2.37-2.63, 4 Pt 2.62-2.65
Cr (0.8547, 0.5772, 0.8266)  4 Tc 2.37-2.63, 4 Pt 2.62-2.65
Tc (0.4012, 0.0469, 0.2972)  4 Cr 2.37-2.63, 1 Pt 2.64
Tc (0.4006, 0.5477, 0.7975)  4 Cr 2.37-2.63, 1 Pt 2.63
Tc (0.5994, 0.4523, 0.2025)  4 Cr 2.37-2.63, 1 Pt 2.63
Tc (0.5988, 0.9531, 0.7028)  4 Cr 2.37-2.63, 1 Pt 2.64
Pt (0.1554, 0.1704, 0.9200)  4 Cr 2.62-2.65, 3 Tc 2.64-2.79, 2 Pt 2.78
Pt (0.1568, 0.6697, 0.4201)  4 Cr 2.62-2.65, 3 Tc 2.63-2.79, 2 Pt 2.78
Pt (0.8432, 0.3303, 0.5799)  4 Cr 2.62-2.65, 3 Tc 2.63-2.79, 2 Pt 2.78
Pt (0.8446, 0.8296, 0.0800)  4 Cr 2.62-2.65, 3 Tc 2.64-2.79, 2 Pt 2.78


(11)
Compound: CrTcPt
Source: Alexandria via LeMat-Bulk
Functional: GGA-PBE
Structure: optimized geometry

excess energy over the best structure of this formula in the dataset	58	meV per atom
calculated formation energy	0.01	eV/atom
calculated density	13.6	g/cm3

Cell: 4.2602 4.2602 2.6864 Å, 90.00 90.00 120.00°
Closest atoms and distances in Å follow each position.
Fractional coordinates of all 3 atoms:
Cr (0.0000, 0.0000, 0.0000)  3 Tc 2.46, 2 Cr 2.69
Tc (0.6667, 0.3333, 0.0000)  3 Cr 2.46, 2 Tc 2.69
Pt (0.3333, 0.6667, 0.5000)  2 Pt 2.69, 6 Cr 2.80, 6 Tc 2.80


(12)
Compound: CrTc4Pt
Source: Alexandria via LeMat-Bulk
Functional: GGA-PBE
Structure: optimized geometry

calculated formation energy	0.33	eV/atom
calculated density	11.5	g/cm3

Cell: 5.0717 5.0717 5.0717 Å, 60.00 60.00 60.00°
Closest atoms and distances in Å follow each position.
Fractional coordinates of all 6 atoms:
Cr (0.0000, 0.0000, 0.0000)  12 Tc 2.97, 4 Pt 3.11
Tc (0.3756, 0.3756, 0.3756)  6 Tc 2.52-2.55
Tc (0.3756, 0.3756, 0.8732)  6 Tc 2.52-2.55
Tc (0.3756, 0.8732, 0.3756)  6 Tc 2.52-2.55
Tc (0.8732, 0.3756, 0.3756)  6 Tc 2.52-2.55
Pt (0.7500, 0.7500, 0.7500)  12 Tc 2.97, 4 Cr 3.11


Please write out number 11 again, unchanged.
Compound: CrTcPt
Source: Alexandria via LeMat-Bulk
Functional: GGA-PBE
Structure: optimized geometry

excess energy over the best structure of this formula in the dataset	58	meV per atom
calculated formation energy	0.01	eV/atom
calculated density	13.6	g/cm3

Cell: 4.2602 4.2602 2.6864 Å, 90.00 90.00 120.00°
Closest atoms and distances in Å follow each position.
Fractional coordinates of all 3 atoms:
Cr (0.0000, 0.0000, 0.0000)  3 Tc 2.46, 2 Cr 2.69
Tc (0.6667, 0.3333, 0.0000)  3 Cr 2.46, 2 Tc 2.69
Pt (0.3333, 0.6667, 0.5000)  2 Pt 2.69, 6 Cr 2.80, 6 Tc 2.80